Entry 1:
The following is a PBE calculation of a relaxed RbSr2TcO6 crystal, from Alexandria.

Geometry as extended XYZ:
```
20
Lattice="5.823 0.000 0.000 0.000 6.484 0.000 -5.716 0.000 8.861" Properties=species:S:1:pos:R:3 pbc="T T T"
Rb 0.000 0.000 0.000
Rb -2.858 3.242 4.430
Sr -2.869 0.146 6.369
Sr -0.011 3.096 1.939
Sr 0.118 3.388 6.922
Sr 2.976 6.338 2.492
Tc 0.053 0.000 4.430
Tc 2.911 3.242 0.000
O -1.585 0.944 4.316
O -4.443 2.298 8.746
O -3.564 4.606 7.735
O -0.706 5.120 3.305
O 0.730 0.907 2.880
O -2.128 2.335 7.310
O 2.234 4.149 1.551
O -0.624 5.577 5.981
O 0.813 1.364 5.556
O 3.671 1.878 1.126
O 4.550 4.186 0.115
O 1.692 5.540 4.545
```

## Properties
SG: No. 14
Total magnetic moment, μB per formula unit: 0.00
Formation energy (no corrections), eV/atom: -2.0236
Total DFT energy (no corrections), eV per cell: -129.36



Entry 2:
The following is a PBE calculation of a relaxed RbSrTcO4 crystal, from Alexandria.

Geometry as extended XYZ:
```
14
Lattice="6.392 0.000 0.000 0.000 6.189 0.000 -2.151 0.000 7.368" Properties=species:S:1:pos:R:3 pbc="T T T"
Rb 0.443 1.547 3.181
Rb 3.798 4.642 4.186
Sr -0.105 1.547 7.012
Sr 4.347 4.642 0.356
Tc 1.110 4.642 1.230
Tc 3.132 1.547 6.138
O -1.696 4.642 6.893
O -0.326 4.642 2.360
O 2.395 3.277 1.406
O 2.395 6.007 1.406
O 1.847 0.183 5.962
O 1.847 2.912 5.962
O 4.567 1.547 5.008
O 5.938 1.547 0.474
```

## Properties
SG: No. 11
Total magnetic moment, μB per formula unit: 2.00
Formation energy (no corrections), eV/atom: -1.8836
Total DFT energy (no corrections), eV per cell: -92.07



Entry 3:
The following is a PBE calculation of a relaxed Rb3SrTe2O9 crystal, from Alexandria.

Geometry as extended XYZ:
```
15
Lattice="6.046 0.000 0.000 -3.023 5.236 0.000 0.000 0.000 7.572" Properties=species:S:1:pos:R:3 pbc="T T T"
Rb 0.000 0.000 0.000
Rb 0.000 3.491 5.038
Rb 3.023 1.745 2.535
Sr 0.000 0.000 3.786
Te 0.000 3.491 1.214
Te 3.023 1.745 6.358
O -1.511 2.618 0.000
O 0.000 1.904 2.243
O -1.374 4.284 2.243
O 1.649 0.952 5.329
O 3.023 0.000 0.000
O 1.511 2.618 0.000
O 1.374 4.284 2.243
O 4.397 0.952 5.329
O 3.023 3.332 5.329
```

## Properties
SG: No. 164
Total magnetic moment, μB per formula unit: 1.01
Formation energy (no corrections), eV/atom: -1.3983
Total DFT energy (no corrections), eV per cell: -76.47



Entry 4:
The following is a PBE calculation of a relaxed Rb2Sr2TeO6 crystal, from Alexandria.

Geometry as extended XYZ:
```
11
Lattice="3.129 -5.251 0.000 3.129 5.251 0.000 -1.901 0.000 6.643" Properties=species:S:1:pos:R:3 pbc="T T T"
Rb 3.129 3.504 0.000
Rb 3.129 -3.504 0.000
Sr 2.178 1.712 3.322
Sr 2.178 -1.712 3.322
Te -0.951 0.000 3.322
O -0.112 1.435 4.421
O 0.676 0.000 2.177
O -0.112 -1.435 4.421
O 4.469 1.435 2.223
O 3.680 0.000 4.466
O 4.469 -1.435 2.223
```

## Properties
SG: No. 12
Total magnetic moment, μB per formula unit: 0.00
Formation energy (no corrections), eV/atom: -1.9210
Total DFT energy (no corrections), eV per cell: -59.32



Entry 5:
The following is a PBE calculation of a relaxed Rb2SrTeO6 crystal, from Alexandria.

Geometry as extended XYZ:
```
10
Lattice="6.633 0.000 0.000 -3.316 5.744 0.000 0.000 0.000 6.416" Properties=species:S:1:pos:R:3 pbc="T T T"
Rb 0.000 3.829 0.626
Rb 3.316 1.915 5.790
Sr 0.000 0.000 3.208
Te 0.000 0.000 0.000
O 0.000 1.554 5.243
O -1.970 4.967 5.243
O 1.346 0.777 1.173
O 1.970 4.967 5.243
O 5.287 0.777 1.173
O 3.316 4.190 1.173
```

## Properties
SG: No. 164
Total magnetic moment, μB per formula unit: 2.01
Formation energy (no corrections), eV/atom: -1.3839
Total DFT energy (no corrections), eV per cell: -50.35



Entry 6:
The following is a PBE calculation of a relaxed Rb2SrTiO4 crystal, from Alexandria.

Geometry as extended XYZ:
```
16
Lattice="0.000 6.330 12.151 3.073 0.000 12.151 3.073 6.330 0.000" Properties=species:S:1:pos:R:3 pbc="T T T"
Rb 2.305 4.748 1.797
Rb 3.841 7.913 7.872
Rb 2.305 4.748 16.430
Rb 3.841 7.913 22.505
Sr 0.768 1.583 3.038
Sr 5.378 11.078 21.264
Ti 2.305 4.748 9.113
Ti 3.841 7.913 15.189
O 3.490 3.633 8.235
O 3.490 5.862 9.992
O 5.026 6.798 16.067
O 5.026 9.027 14.310
O 1.120 3.633 9.992
O 1.120 5.862 8.235
O 2.656 6.798 14.310
O 2.656 9.027 16.067
```

## Properties
SG: No. 70
Total magnetic moment, μB per formula unit: 0.00
Formation energy (no corrections), eV/atom: -2.1601
Total DFT energy (no corrections), eV per cell: -97.25



Entry 7:
The following is a PBE calculation of a relaxed RbSrTlO2 crystal, from Alexandria.

Geometry as extended XYZ:
```
10
Lattice="7.365 0.000 0.000 0.000 7.056 0.000 -1.467 0.000 6.801" Properties=species:S:1:pos:R:3 pbc="T T T"
Rb -0.367 1.735 1.700
Rb -1.101 5.321 5.101
Sr 2.582 3.457 5.101
Sr 3.316 3.599 1.700
Tl 3.683 0.000 0.000
Tl 2.949 0.000 3.401
O 1.878 2.234 3.114
O 1.144 4.822 6.514
O 4.754 2.234 0.287
O 4.020 4.822 3.687
```

## Properties
SG: No. 13
Total magnetic moment, μB per formula unit: 0.00
Formation energy (no corrections), eV/atom: -1.3095
Total DFT energy (no corrections), eV per cell: -42.96



Entry 8:
The following is a PBE calculation of a relaxed Rb2SrTlO4 crystal, from Alexandria.

Geometry as extended XYZ:
```
16
Lattice="5.205 -5.289 0.000 5.205 5.289 0.000 -5.120 0.000 5.604" Properties=species:S:1:pos:R:3 pbc="T T T"
Rb 0.000 0.000 0.000
Rb -2.560 0.000 2.802
Rb 2.603 2.645 0.000
Rb 0.043 -2.645 2.802
Sr 0.043 2.645 2.802
Sr 2.603 -2.645 0.000
Tl 5.205 0.000 0.000
Tl 2.645 0.000 2.802
O 0.199 2.359 5.395
O 0.486 0.131 2.806
O 2.531 2.359 3.011
O 3.046 -0.131 0.004
O 2.244 0.131 5.601
O 2.759 -2.359 2.593
O 4.804 -0.131 2.798
O 5.091 -2.359 0.209
```

## Properties
SG: No. 15
Total magnetic moment, μB per formula unit: 1.02
Formation energy (no corrections), eV/atom: -1.2953
Total DFT energy (no corrections), eV per cell: -72.36